The following is a PBE with a Hubbard U calculation of an optimized crystal structure of AcMn2MoO6, from Alexandria via LeMat-Bulk.

The total energy is -74.0 eV per cell. Its crystal system is tetragonal. Its mass density is 5.00 g cm⁻³.

The structure belongs to space group P4mm (No. 99); the cell edges are 5.7390, 5.7390 and 5.3316 Å and the angles 90.00°, 90.00° and 90.00°. The distinct sites, in fractional coordinates, are Ac at (0.0000, 0.0000, 0.0000), Mn at (0.0000, 0.5000, 0.3708), Mo at (0.5000, 0.5000, 0.0723), O at (0.0000, 0.0000, 0.5770), O at (0.2723, 0.2723, 0.2097) and O at (0.5000, 0.5000, 0.7418).